(1)
Below is a geometry-optimized Dy5Zn2Au structure, with properties calculated at the PBE level.

Values from the calculation:
Magnetization ... 0.0 μB/f.u.
Energy relative to the elements ... -0.374 eV per atom
DOS(E_F) ... 34.614 states/eV/cell
Raw total energy ... -127.30 eV per cell

Lattice parameters (Å, degrees): 7.279 7.279 15.410 90.00 90.00 90.00
Space group I4/mcm (No. 140)
Unique sites:
Dy1 0.000 0.000 0.000 x4
Dy2 0.170 0.330 0.151 x16
Zn1 0.122 0.378 0.500 x8
Au1 0.000 0.000 0.250 x4

(2)
Below is a geometry-optimized Ca8TlSn2 structure, with properties calculated at the PBE level.

Values from the calculation:
Magnetization ... 0.0 μB/f.u.
Energy relative to the elements ... -0.377 eV per atom
DOS(E_F) ... 13.899 states/eV/cell
Raw total energy ... -61.07 eV per cell

Lattice parameters (Å, degrees): 5.490 7.684 16.930 90.00 90.00 90.00
Space group Immm (No. 71)
Unique sites:
Ca1 0.000 0.000 0.182 x4
Ca2 0.000 0.230 0.357 x8
Ca3 0.000 0.265 0.000 x4
Tl1 0.000 0.500 0.500 x2
Sn1 0.000 0.500 0.188 x4

(3)
Below is a geometry-optimized Rb3ScGe structure, with properties calculated at the PBE level.

Values from the calculation:
Magnetization ... 2.3 μB/f.u.
Energy relative to the elements ... 1.180 eV per atom
DOS(E_F) ... 18.578 states/eV/cell
Raw total energy ... -7.95 eV per cell

Lattice parameters (Å, degrees): 6.952 6.952 6.952 90.00 90.00 90.00
Space group Pm-3m (No. 221)
Unique sites:
Rb1 0.000 0.000 0.500 x3
Sc1 0.000 0.000 0.000 x1
Ge1 0.500 0.500 0.500 x1

(4)
Below is a geometry-optimized Zr7Tl2H2 structure, with properties calculated at the PBE level.

Values from the calculation:
Magnetization ... 0.0 μB/f.u.
DOS(E_F) ... 19.090 states/eV/cell
Raw total energy ... -140.50 eV per cell

Lattice parameters (Å, degrees): 10.918 6.661 6.201 90.00 98.39 90.00
Space group C2/m (No. 12)
Unique sites:
Zr1 0.000 0.000 0.000 x2
Zr2 0.072 0.500 0.844 x4
Zr3 0.213 0.261 0.238 x8
Tl1 0.000 0.209 0.500 x4
H1 0.236 0.000 0.998 x4

(5)
Below is a geometry-optimized Dy5Tm8Zr structure, with properties calculated at the PBE level.

Values from the calculation:
Magnetization ... 0.0 μB/f.u.
Energy relative to the elements ... 0.190 eV per atom
DOS(E_F) ... 26.197 states/eV/cell
Raw total energy ... -129.34 eV per cell

Lattice parameters (Å, degrees): 13.378 9.614 9.186 90.00 131.62 90.00
Space group C2 (No. 5)
Unique sites:
Dy1 0.000 0.000 0.000 x2
Dy2 0.001 0.769 0.713 x4
Dy3 0.175 0.425 0.980 x4
Tm1 0.009 0.125 0.326 x4
Tm2 0.181 0.425 0.381 x4
Tm3 0.213 0.620 0.709 x4
Tm4 0.221 0.745 0.219 x4
Zr1 0.000 0.387 0.500 x2

(6)
Below is a geometry-optimized GaFeAsBr2 structure, with properties calculated at the PBE level.

Values from the calculation:
Magnetization ... 1.9 μB/f.u.
DOS(E_F) ... 4.400 states/eV/cell
Raw total energy ... -19.01 eV per cell
Raw formation energy ... 0.5 eV/f.u.

Lattice parameters (Å, degrees): 5.343 5.343 4.507 90.00 90.00 90.00
Space group P4/mmm (No. 123)
Unique sites:
Ga1 0.000 0.000 0.000 x1
Fe1 0.500 0.500 0.500 x1
As1 0.500 0.500 0.000 x1
Br1 0.000 0.500 0.500 x2

(7)
Below is a geometry-optimized Th6TeIr2C3 structure, with properties calculated at the PBE level.

Values from the calculation:
Magnetization ... 0.0 μB/f.u.
DOS(E_F) ... 9.455 states/eV/cell
Raw total energy ... -199.22 eV per cell
Raw formation energy ... -6.6 eV/f.u.

Lattice parameters (Å, degrees): 17.801 3.892 8.327 90.00 107.35 90.00
Space group C2/m (No. 12)
Unique sites:
Th1 0.006 0.000 0.212 x4
Th2 0.161 0.500 0.099 x4
Th3 0.181 0.500 0.578 x4
Te1 0.000 0.500 0.500 x2
Ir1 0.171 0.000 0.835 x4
C1 0.000 0.500 0.000 x2
C2 0.162 0.000 0.336 x4

(8)
Below is a geometry-optimized CsTlCdPb2 structure, with properties calculated at the PBE level.

Values from the calculation:
Magnetization ... 0.0 μB/f.u.
Energy relative to the elements ... -0.109 eV per atom
DOS(E_F) ... 2.251 states/eV/cell
Raw total energy ... -24.20 eV per cell

Lattice parameters (Å, degrees): 5.177 5.492 12.979 90.00 90.00 90.00
Space group Imm2 (No. 44)
Unique sites:
Cs1 0.000 0.000 0.000 x2
Tl1 0.000 0.500 0.752 x2
Cd1 0.000 0.000 0.382 x2
Pb1 0.000 0.000 0.617 x2
Pb2 0.000 0.500 0.261 x2

(9)
Below is a geometry-optimized Li2NbPN4 structure, with properties calculated at the PBE level.

Values from the calculation:
Magnetization ... 0.0 μB/f.u.
DOS(E_F) ... 0.000 states/eV/cell
Raw total energy ... -117.66 eV per cell
Raw formation energy ... -6.2 eV/f.u.

Lattice parameters (Å, degrees): 4.702 4.702 8.426 90.00 90.00 90.00
Space group I-4 (No. 82)
Unique sites:
Li1 0.000 0.000 0.000 x2
Li2 0.000 0.500 0.250 x2
Nb1 0.000 0.000 0.500 x2
P1 0.000 0.500 0.750 x2
N1 0.187 0.718 0.636 x8

(10)
Below is a geometry-optimized Hf4BeGa structure, with properties calculated at the PBE level.

Values from the calculation:
Magnetization ... 0.0 μB/f.u.
Energy relative to the elements ... -0.222 eV per atom
DOS(E_F) ... 7.025 states/eV/cell
Raw total energy ... -95.80 eV per cell

Lattice parameters (Å, degrees): 6.820 6.820 4.805 90.00 90.00 90.00
Space group I422 (No. 97)
Unique sites:
Hf1 0.153 0.347 0.250 x8
Be1 0.000 0.000 0.500 x2
Ga1 0.000 0.000 0.000 x2

(11)
Below is a geometry-optimized Ce4ThPa3P8 structure, with properties calculated at the PBE level.

Values from the calculation:
Magnetization ... 0.3 μB/f.u.
Energy relative to the elements ... -1.444 eV per atom
DOS(E_F) ... 60.540 states/eV/cell
Raw total energy ... -378.08 eV per cell

Lattice parameters (Å, degrees): 8.0844 8.0844 19.8334 90.00 90.00 120.00
Space group R-3m (No. 166, hexagonal axes)
Unique sites:
Ce1 0.0000 0.0000 0.0000 x3
Ce2 0.0000 0.5000 0.0000 x9
Th1 0.0000 0.0000 0.5000 x3
Pa1 0.0000 0.5000 0.5000 x9
P1 0.0000 0.0000 0.2468 x6
P2 0.0073 0.5037 0.7517 x18

(12)
Below is a geometry-optimized VSeS2 structure, with properties calculated at the PBE level.

Values from the calculation:
Magnetization ... 0.0 μB/f.u.
DOS(E_F) ... 7.898 states/eV/cell
Raw total energy ... -67.73 eV per cell
Raw formation energy ... -1.7 eV/f.u.

Lattice parameters (Å, degrees): 3.2578 3.2578 23.5846 90.00 90.00 120.00
Space group R-3m (No. 166, hexagonal axes)
Unique sites:
V1 0.0000 0.0000 0.0000 x3
Se1 0.0000 0.0000 0.5000 x3
S1 0.0000 0.0000 0.3940 x6

(13)
Below is a geometry-optimized TaNb6B4 structure, with properties calculated at the PBE level.

Values from the calculation:
Magnetization ... 0.0 μB/f.u.
Energy relative to the elements ... -0.119 eV per atom
DOS(E_F) ... 16.187 states/eV/cell
Raw total energy ... -200.57 eV per cell

Lattice parameters (Å, degrees): 6.192 6.192 8.453 90.00 90.00 90.00
Space group I-42m (No. 121)
Unique sites:
Ta1 0.000 0.000 0.000 x2
Nb1 0.000 0.500 0.000 x4
Nb2 0.154 0.154 0.688 x8
B1 0.222 0.222 0.425 x8

(14)
Below is a geometry-optimized KVMo2Ir structure, with properties calculated at the PBE level.

Values from the calculation:
Magnetization ... 0.0 μB/f.u.
Energy relative to the elements ... 3.077 eV per atom
DOS(E_F) ... 6.554 states/eV/cell
Raw total energy ... -25.36 eV per cell

Lattice parameters (Å, degrees): 4.458 4.458 4.577 90.00 90.00 90.00
Space group P4/mmm (No. 123)
Unique sites:
K1 0.000 0.000 0.000 x1
V1 0.500 0.500 0.500 x1
Mo1 0.000 0.500 0.000 x2
Ir1 0.000 0.000 0.500 x1

(15)
Below is a geometry-optimized Sr2ZrIr structure, with properties calculated at the PBE level.

Values from the calculation:
Magnetization ... 0.0 μB/f.u.
Energy relative to the elements ... 0.514 eV per atom
DOS(E_F) ... 7.903 states/eV/cell
Raw total energy ... -37.43 eV per cell

Lattice parameters (Å, degrees): 5.987 10.243 3.359 90.00 90.31 90.00
Space group C2/m (No. 12)
Unique sites:
Sr1 0.250 0.250 0.000 x4
Zr1 0.000 0.000 0.500 x2
Ir1 0.000 0.500 0.500 x2

(16)
Below is a geometry-optimized Nd2Tm2Hg structure, with properties calculated at the PBE level.

Values from the calculation:
Magnetization ... 0.0 μB/f.u.
Energy relative to the elements ... -0.139 eV per atom
DOS(E_F) ... 35.527 states/eV/cell
Raw total energy ... -155.80 eV per cell

Lattice parameters (Å, degrees): 7.410 10.272 16.427 90.00 90.00 90.00
Space group Fmmm (No. 69)
Unique sites:
Nd1 0.000 0.000 0.205 x8
Nd2 0.209 0.000 0.000 x8
Tm1 0.000 0.205 0.397 x16
Hg1 0.250 0.250 0.250 x8

(17)
Below is a geometry-optimized CaPb5Au4 structure, with properties calculated at the PBE level.

Values from the calculation:
Magnetization ... 0.0 μB/f.u.
Energy relative to the elements ... -0.204 eV per atom
DOS(E_F) ... 8.799 states/eV/cell
Raw total energy ... -71.38 eV per cell

Lattice parameters (Å, degrees): 15.081 4.921 7.392 90.00 90.74 90.00
Space group C2/m (No. 12)
Unique sites:
Ca1 0.000 0.000 0.000 x2
Pb1 0.000 0.000 0.500 x2
Pb2 0.166 0.500 0.990 x4
Pb3 0.170 0.500 0.512 x4
Au1 0.016 0.500 0.251 x4
Au2 0.170 0.000 0.758 x4

(18)
Below is a geometry-optimized LiScPaTc structure, with properties calculated at the PBE level.

Values from the calculation:
Magnetization ... 0.0 μB/f.u.
Energy relative to the elements ... -0.033 eV per atom
DOS(E_F) ... 22.589 states/eV/cell
Raw total energy ... -112.95 eV per cell

Lattice parameters (Å, degrees): 6.745 6.745 6.745 90.00 90.00 90.00
Space group F-43m (No. 216)
Unique sites:
Li1 0.000 0.000 0.000 x4
Sc1 0.250 0.250 0.750 x4
Pa1 0.250 0.250 0.250 x4
Tc1 0.000 0.000 0.500 x4

(19)
Below is a geometry-optimized NaSbPbAu structure, with properties calculated at the PBE level.

Values from the calculation:
Magnetization ... 0.0 μB/f.u.
DOS(E_F) ... 2.227 states/eV/cell
Raw total energy ... -51.42 eV per cell
Raw formation energy ... -0.4 eV/f.u.

Lattice parameters (Å, degrees): 7.336 7.336 7.336 90.00 90.00 90.00
Space group F-43m (No. 216)
Unique sites:
Na1 0.000 0.000 0.000 x4
Sb1 0.250 0.250 0.250 x4
Pb1 0.250 0.250 0.750 x4
Au1 0.000 0.000 0.500 x4

(20)
Below is a geometry-optimized NaCuP2Se8 structure, with properties calculated at the PBE level.

Values from the calculation:
Magnetization ... 0.0 μB/f.u.
DOS(E_F) ... 11.851 states/eV/cell
Raw total energy ... -134.81 eV per cell
Raw formation energy ... -0.8 eV/f.u.

Lattice parameters (Å, degrees): 5.6612 5.6612 34.9210 90.00 90.00 120.00
Space group R-3 (No. 148, hexagonal axes)
Unique sites:
Na1 0.0000 0.0000 0.0000 x3
Cu1 0.0000 0.0000 0.5000 x3
P1 0.0000 0.0000 0.2428 x6
Se1 0.0000 0.0000 0.3044 x6
Se2 0.0195 0.3843 0.7838 x18